# 1
# Tb5PrAu4 PBE relaxed
# Formation energy from the elements ... -0.68 eV per atom
# Calculated volume ... 257.2 Å³ per cell
# DOS at the Fermi energy ... 7.6 states/eV/cell
data_Tb5PrAu4
_cell_length_a 3.5971
_cell_length_b 3.5971
_cell_length_c 19.8750
_cell_angle_alpha 90.00
_cell_angle_beta 90.00
_cell_angle_gamma 90.00
_space_group_name_H-M_alt 'P 4/m m m'
_space_group_IT_number 123
_space_group_name_Hall '-P 4 2'
loop_
_atom_site_label
_atom_site_type_symbol
_atom_site_fract_x
_atom_site_fract_y
_atom_site_fract_z
Tb1 Tb 0.0000 0.0000 0.0000
Tb2 Tb 0.0000 0.0000 0.1845
Tb3 Tb 0.0000 0.0000 0.3661
Pr1 Pr 0.5000 0.5000 0.5000
Au1 Au 0.5000 0.5000 0.0924
Au2 Au 0.5000 0.5000 0.2783

# 2
# TbPr2Au PBE relaxed
# Formation energy from the elements ... 0.00 eV per atom
# Calculated volume ... 382.4 Å³ per cell
# DOS at the Fermi energy ... 20.6 states/eV/cell
data_TbPr2Au
_cell_length_a 3.5867
_cell_length_b 3.5867
_cell_length_c 34.3289
_cell_angle_alpha 90.00
_cell_angle_beta 90.00
_cell_angle_gamma 120.00
_space_group_name_H-M_alt 'R -3 m'
_space_group_IT_number 166
_space_group_name_Hall '-R 3 2"'
loop_
_atom_site_label
_atom_site_type_symbol
_atom_site_fract_x
_atom_site_fract_y
_atom_site_fract_z
Tb1 Tb 0.0000 0.0000 0.0000
Pr1 Pr 0.0000 0.0000 0.0986
Au1 Au 0.0000 0.0000 0.5000

# 3
# Tb4PrAu5 PBE relaxed
# Formation energy from the elements ... -0.83 eV per atom
# Calculated volume ... 241.2 Å³ per cell
# DOS at the Fermi energy ... 4.7 states/eV/cell
data_Tb4PrAu5
_cell_length_a 3.6114
_cell_length_b 3.6114
_cell_length_c 18.4964
_cell_angle_alpha 90.00
_cell_angle_beta 90.00
_cell_angle_gamma 90.00
_space_group_name_H-M_alt 'P 4/m m m'
_space_group_IT_number 123
_space_group_name_Hall '-P 4 2'
loop_
_atom_site_label
_atom_site_type_symbol
_atom_site_fract_x
_atom_site_fract_y
_atom_site_fract_z
Tb1 Tb 0.0000 0.0000 0.0988
Tb2 Tb 0.0000 0.0000 0.2961
Pr1 Pr 0.0000 0.0000 0.5000
Au1 Au 0.5000 0.5000 0.0000
Au2 Au 0.5000 0.5000 0.1969
Au3 Au 0.5000 0.5000 0.3892

# 4
# TbPr3Au4 PBE relaxed
# Formation energy from the elements ... -0.77 eV per atom
# Calculated volume ... 204.4 Å³ per cell
# DOS at the Fermi energy ... 5.4 states/eV/cell
data_TbPr3Au4
_cell_length_a 3.6986
_cell_length_b 3.6986
_cell_length_c 14.9407
_cell_angle_alpha 90.00
_cell_angle_beta 90.00
_cell_angle_gamma 90.00
_space_group_name_H-M_alt 'P 4/m m m'
_space_group_IT_number 123
_space_group_name_Hall '-P 4 2'
loop_
_atom_site_label
_atom_site_type_symbol
_atom_site_fract_x
_atom_site_fract_y
_atom_site_fract_z
Tb1 Tb 0.0000 0.0000 0.0000
Pr1 Pr 0.0000 0.0000 0.2463
Pr2 Pr 0.0000 0.0000 0.5000
Au1 Au 0.5000 0.5000 0.1125
Au2 Au 0.5000 0.5000 0.3739

# 5
# Tb3Pr2Au4 PBE relaxed
# Formation energy from the elements ... -0.66 eV per atom
# Calculated volume ... 968.4 Å³ per cell
# DOS at the Fermi energy ... 39.4 states/eV/cell
data_Tb3Pr2Au4
_cell_length_a 7.1412
_cell_length_b 17.7653
_cell_length_c 7.6333
_cell_angle_alpha 90.00
_cell_angle_beta 90.00
_cell_angle_gamma 90.00
_space_group_name_H-M_alt 'C m c e'
_space_group_IT_number 64
_space_group_name_Hall '-C 2ac 2'
loop_
_atom_site_label
_atom_site_type_symbol
_atom_site_fract_x
_atom_site_fract_y
_atom_site_fract_z
Tb1 Tb 0.0000 0.0000 0.0000
Tb2 Tb 0.2500 0.2361 0.2500
Pr1 Pr 0.0000 0.0965 0.5783
Au1 Au 0.0000 0.1692 0.9703
Au2 Au 0.2500 0.0660 0.2500

# 6
# Tb3Pr2Au2 PBE relaxed
# Formation energy from the elements ... -0.47 eV per atom
# Calculated volume ... 205.1 Å³ per cell
# DOS at the Fermi energy ... 7.0 states/eV/cell
data_Tb3Pr2Au2
_cell_length_a 3.7977
_cell_length_b 6.6660
_cell_length_c 9.0666
_cell_angle_alpha 69.96
_cell_angle_beta 77.93
_cell_angle_gamma 73.48
_space_group_name_H-M_alt 'P -1'
_space_group_IT_number 2
_space_group_name_Hall '-P 1'
loop_
_atom_site_label
_atom_site_type_symbol
_atom_site_fract_x
_atom_site_fract_y
_atom_site_fract_z
Tb1 Tb 0.0000 0.0000 0.0000
Tb2 Tb 0.3445 0.4962 0.8146
Pr1 Pr 0.1097 0.2186 0.5599
Au1 Au 0.3324 0.1274 0.2082

Number 1: DFT total energy -4.781 eV/atom. Number 2: DFT total energy -4.369 eV/atom. Number 3: DFT total energy -4.801 eV/atom. Number 4: DFT total energy -4.782 eV/atom. Number 5: DFT total energy -4.722 eV/atom. Number 6: DFT total energy -4.760 eV/atom.